## i
{"formula": "Cu2Ni3Pt2", "functional": "PBE", "state": "relaxed", "lattice_angstrom": [[4.089, -1.877, 0.000], [4.089, 1.877, 0.000], [-0.900, 0.000, 5.779]], "species": ["Cu", "Cu", "Ni", "Ni", "Ni", "Pt", "Pt"], "frac_coords": [[0.138, 0.138, 0.428], [0.862, 0.862, 0.572], [0.000, 0.000, 0.000], [0.429, 0.429, 0.293], [0.571, 0.571, 0.707], [0.289, 0.289, 0.850], [0.711, 0.711, 0.150]], "rho_g_cm3": 13.0, "total_magnetization_mub_per_cell": 2.21}


## ii
{"formula": "Cu2Ni3Pt2", "functional": "PBE", "state": "relaxed", "lattice_angstrom": [[-1.301, 1.989, 8.894], [1.301, -1.989, 8.894], [1.301, 1.989, -8.894]], "species": ["Cu", "Cu", "Ni", "Ni", "Ni", "Pt", "Pt"], "frac_coords": [[0.159, 0.159, 0.000], [0.841, 0.841, 0.000], [0.000, 0.500, 0.500], [0.293, 0.293, 0.000], [0.707, 0.707, 0.000], [0.426, 0.926, 0.500], [0.574, 0.074, 0.500]], "rho_g_cm3": 12.5, "total_magnetization_mub_per_cell": 2.19}


Energy ordering: i at the bottom, the next structure 150 meV per atom above.